# CaCr2AgO8

Crystalline CaCr2AgO8 at its relaxed geometry (GGA+U, Alexandria).

Unit cell a=6.0665 b=6.0665 c=6.0665 alpha=106.38 beta=106.38 gamma=115.85
Last column: nearest neighbours and their distance in Å.
Fractional coordinates of all 12 atoms:
Ca 0.2500 0.7500 0.5000  8 O 2.38-2.55
Cr 0.5000 0.5000 0.0000  4 O 1.66
Cr 0.7500 0.2500 0.5000  4 O 1.67
O 0.8374 0.6530 0.1844  1 Cr 1.66
O 0.3470 0.1626 0.8156  1 Cr 1.66
O 0.7698 0.0892 0.6806  1 Cr 1.67
O 0.4687 0.6530 0.8156  1 Cr 1.66
O 0.3470 0.5313 0.1844  1 Cr 1.66
O 0.9108 0.2302 0.3194  1 Cr 1.67
O 0.4086 0.0892 0.3194  1 Cr 1.67
O 0.9108 0.5914 0.6806  1 Cr 1.67
Ag 0.0000 0.0000 0.0000  8 O 2.39-2.61

## Properties
symmetry = I-4m2
theoretical density = 3706 kg/m3
E = -6.253 eV/atom
magnetic moment = 0.09 μB per atom
crystal system = tetragonal